{
  "formula": "CoMoOs",
  "functional": "meta-GGA SCAN",
  "state": "single point on PBEsol structure",
  "cell": [[5.720, 0.000, 0.000], [0.000, 5.720, 0.000], [0.000, 0.000, 5.720]],
  "species": ["Co", "Co", "Co", "Co", "Mo", "Mo", "Mo", "Mo", "Os", "Os", "Os", "Os"],
  "frac_coords": [[0.000, 0.000, 0.000], [0.000, 0.500, 0.500], [0.500, 0.000, 0.500], [0.500, 0.500, 0.000], [0.250, 0.250, 0.750], [0.250, 0.750, 0.250], [0.750, 0.250, 0.250], [0.750, 0.750, 0.750], [0.000, 0.000, 0.500], [0.000, 0.500, 0.000], [0.500, 0.000, 0.000], [0.500, 0.500, 0.500]],
  "magmom_total_mub_per_fu": 0.0,
  "density_g_cm3": 12.25,
  "crystal_system": "cubic",
  "dos_at_fermi_per_ev_cell": 9.56,
  "delta_e_f_ev_per_fu": 2.15
}